[1]
# AlTl3 | Alexandria via LeMat-Bulk | PBE | optimized geometry
# Final energy (eV per atom): -2.5255
# DOS(E_F) (states/eV per atom): 0.288
# Relative energy among the computed polymorphs (meV/atom): 39
# Energy of formation from the pure elements (meV per atom): 185
data_AlTl3
_chemical_formula_sum 'Al1 Tl3'
_cell_length_a 5.729
_cell_length_b 5.729
_cell_length_c 6.088
_cell_angle_alpha 100.30
_cell_angle_beta 100.30
_cell_angle_gamma 34.31
_space_group_name_H-M_alt 'P 1'
_space_group_IT_number 1
_space_group_name_Hall 'P 1'
loop_
_atom_site_label
_atom_site_type_symbol
_atom_site_fract_x
_atom_site_fract_y
_atom_site_fract_z
_atom_site_occupancy
Al1 Al 0.000 0.000 0.000 1
Tl1 Tl 0.262 0.262 0.766 1
Tl2 Tl 0.500 0.500 0.500 1
Tl3 Tl 0.738 0.738 0.234 1

***

[2]
# AlTl3 | Alexandria via LeMat-Bulk | PBE | optimized geometry
# Final energy (eV per atom): -2.5641
# DOS(E_F) (states/eV per atom): 0.422
# Relative energy among the computed polymorphs (meV/atom): 0
# Energy of formation from the pure elements (meV per atom): 146
data_AlTl3
_chemical_formula_sum 'Al1 Tl3'
_cell_length_a 11.125
_cell_length_b 11.125
_cell_length_c 11.125
_cell_angle_alpha 17.61
_cell_angle_beta 17.61
_cell_angle_gamma 17.61
_space_group_name_H-M_alt 'P 1'
_space_group_IT_number 1
_space_group_name_Hall 'P 1'
loop_
_atom_site_label
_atom_site_type_symbol
_atom_site_fract_x
_atom_site_fract_y
_atom_site_fract_z
_atom_site_occupancy
Al1 Al 0.000 0.000 0.000 1
Tl1 Tl 0.258 0.258 0.258 1
Tl2 Tl 0.500 0.500 0.500 1
Tl3 Tl 0.742 0.742 0.742 1

***

[3]
# AlTl3 | Alexandria via LeMat-Bulk | PBE | optimized geometry
# Final energy (eV per atom): -2.2831
# DOS(E_F) (states/eV per atom): 0.717
# Relative energy among the computed polymorphs (meV/atom): 281
# Energy of formation from the pure elements (meV per atom): 427
data_AlTl3
_chemical_formula_sum 'Al1 Tl3'
_cell_length_a 5.530
_cell_length_b 5.530
_cell_length_c 5.530
_cell_angle_alpha 90.00
_cell_angle_beta 90.00
_cell_angle_gamma 90.00
_space_group_name_H-M_alt 'P 1'
_space_group_IT_number 1
_space_group_name_Hall 'P 1'
loop_
_atom_site_label
_atom_site_type_symbol
_atom_site_fract_x
_atom_site_fract_y
_atom_site_fract_z
_atom_site_occupancy
Al1 Al 0.000 0.000 0.000 1
Tl1 Tl 0.000 0.000 0.500 1
Tl2 Tl 0.000 0.500 0.000 1
Tl3 Tl 0.500 0.000 0.000 1

***

[4]
# AlTl2 | Alexandria via LeMat-Bulk | PBE | optimized geometry
# Final energy (eV per atom): -2.6592
# DOS(E_F) (states/eV per atom): 0.606
# Relative energy among the computed polymorphs (meV/atom): 24
# Energy of formation from the pure elements (meV per atom): 166
data_AlTl2
_chemical_formula_sum 'Al2 Tl4'
_cell_length_a 12.329
_cell_length_b 12.329
_cell_length_c 4.148
_cell_angle_alpha 90.00
_cell_angle_beta 90.00
_cell_angle_gamma 164.70
_space_group_name_H-M_alt 'P 1'
_space_group_IT_number 1
_space_group_name_Hall 'P 1'
loop_
_atom_site_label
_atom_site_type_symbol
_atom_site_fract_x
_atom_site_fract_y
_atom_site_fract_z
_atom_site_occupancy
Al1 Al 0.233 0.767 0.750 1
Al2 Al 0.767 0.233 0.250 1
Tl1 Tl 0.141 0.859 0.250 1
Tl2 Tl 0.447 0.553 0.250 1
Tl3 Tl 0.553 0.447 0.750 1
Tl4 Tl 0.859 0.141 0.750 1

***

[5]
# Tm6AlTl | Alexandria via LeMat-Bulk | PBE | optimized geometry
# Final energy (eV per atom): -4.1201
# DOS(E_F) (states/eV per atom): 0.789
# Relative energy among the computed polymorphs (meV/atom): 180
# Energy of formation from the pure elements (meV per atom): -3
data_Tm6AlTl
_chemical_formula_sum 'Tm6 Al1 Tl1'
_cell_length_a 6.460
_cell_length_b 6.460
_cell_length_c 6.234
_cell_angle_alpha 90.02
_cell_angle_beta 90.02
_cell_angle_gamma 120.24
_space_group_name_H-M_alt 'P 1'
_space_group_IT_number 1
_space_group_name_Hall 'P 1'
loop_
_atom_site_label
_atom_site_type_symbol
_atom_site_fract_x
_atom_site_fract_y
_atom_site_fract_z
_atom_site_occupancy
Tm1 Tm 0.088 0.088 0.257 1
Tm2 Tm 0.092 0.503 0.743 1
Tm3 Tm 0.497 0.908 0.257 1
Tm4 Tm 0.503 0.092 0.743 1
Tm5 Tm 0.908 0.497 0.257 1
Tm6 Tm 0.912 0.912 0.743 1
Al1 Al 0.500 0.500 0.500 1
Tl1 Tl 0.500 0.500 0.000 1

***

[6]
# Tm12Al5Tl2 | Alexandria via LeMat-Bulk | PBE | optimized geometry
# Final energy (eV per atom): -4.0912
# DOS(E_F) (states/eV per atom): 0.924
# Energy of formation from the pure elements (meV per atom): -33
data_Tm12Al5Tl2
_chemical_formula_sum 'Tm12 Al5 Tl2'
_cell_length_a 8.690
_cell_length_b 8.690
_cell_length_c 9.666
_cell_angle_alpha 93.12
_cell_angle_beta 93.12
_cell_angle_gamma 47.89
_space_group_name_H-M_alt 'P 1'
_space_group_IT_number 1
_space_group_name_Hall 'P 1'
loop_
_atom_site_label
_atom_site_type_symbol
_atom_site_fract_x
_atom_site_fract_y
_atom_site_fract_z
_atom_site_occupancy
Tm1 Tm 0.026 0.026 0.316 1
Tm2 Tm 0.071 0.559 0.871 1
Tm3 Tm 0.090 0.616 0.439 1
Tm4 Tm 0.384 0.910 0.561 1
Tm5 Tm 0.400 0.400 0.175 1
Tm6 Tm 0.441 0.929 0.129 1
Tm7 Tm 0.559 0.071 0.871 1
Tm8 Tm 0.600 0.600 0.825 1
Tm9 Tm 0.616 0.090 0.439 1
Tm10 Tm 0.910 0.384 0.561 1
Tm11 Tm 0.929 0.441 0.129 1
Tm12 Tm 0.974 0.974 0.684 1
Al1 Al 0.148 0.148 0.845 1
Al2 Al 0.219 0.219 0.349 1
Al3 Al 0.500 0.500 0.500 1
Al4 Al 0.781 0.781 0.651 1
Al5 Al 0.852 0.852 0.155 1
Tl1 Tl 0.216 0.784 0.000 1
Tl2 Tl 0.784 0.216 0.000 1

***

[7]
# TmAlTl2 | Alexandria via LeMat-Bulk | PBE | optimized geometry
# Final energy (eV per atom): -3.0053
# DOS(E_F) (states/eV per atom): 0.549
# Relative energy among the computed polymorphs (meV/atom): 386
# Energy of formation from the pure elements (meV per atom): 231
data_TmAlTl2
_chemical_formula_sum 'Tm1 Al1 Tl2'
_cell_length_a 11.207
_cell_length_b 11.207
_cell_length_c 11.207
_cell_angle_alpha 17.59
_cell_angle_beta 17.59
_cell_angle_gamma 17.59
_space_group_name_H-M_alt 'P 1'
_space_group_IT_number 1
_space_group_name_Hall 'P 1'
loop_
_atom_site_label
_atom_site_type_symbol
_atom_site_fract_x
_atom_site_fract_y
_atom_site_fract_z
_atom_site_occupancy
Tm1 Tm 0.000 0.000 0.000 1
Al1 Al 0.500 0.500 0.500 1
Tl1 Tl 0.093 0.093 0.093 1
Tl2 Tl 0.907 0.907 0.907 1

***

[8]
# TmAl4Tl | Alexandria via LeMat-Bulk | PBE | optimized geometry
# Final energy (eV per atom): -3.7492
# DOS(E_F) (states/eV per atom): 0.566
# Energy of formation from the pure elements (meV per atom): -115
data_TmAl4Tl
_chemical_formula_sum 'Tm1 Al4 Tl1'
_cell_length_a 5.583
_cell_length_b 5.583
_cell_length_c 5.583
_cell_angle_alpha 60.00
_cell_angle_beta 60.00
_cell_angle_gamma 60.00
_space_group_name_H-M_alt 'P 1'
_space_group_IT_number 1
_space_group_name_Hall 'P 1'
loop_
_atom_site_label
_atom_site_type_symbol
_atom_site_fract_x
_atom_site_fract_y
_atom_site_fract_z
_atom_site_occupancy
Tm1 Tm 0.000 0.000 0.000 1
Al1 Al 0.123 0.626 0.626 1
Al2 Al 0.626 0.123 0.626 1
Al3 Al 0.626 0.626 0.123 1
Al4 Al 0.626 0.626 0.626 1
Tl1 Tl 0.250 0.250 0.250 1

***

[9]
# Tm7AlTl4 | Alexandria via LeMat-Bulk | PBE | optimized geometry
# Final energy (eV per atom): -3.7175
# DOS(E_F) (states/eV per atom): 1.087
# Energy of formation from the pure elements (meV per atom): -8
data_Tm7AlTl4
_chemical_formula_sum 'Tm7 Al1 Tl4'
_cell_length_a 7.794
_cell_length_b 7.794
_cell_length_c 11.060
_cell_angle_alpha 125.01
_cell_angle_beta 125.01
_cell_angle_gamma 41.59
_space_group_name_H-M_alt 'P 1'
_space_group_IT_number 1
_space_group_name_Hall 'P 1'
loop_
_atom_site_label
_atom_site_type_symbol
_atom_site_fract_x
_atom_site_fract_y
_atom_site_fract_z
_atom_site_occupancy
Tm1 Tm 0.000 0.000 0.000 1
Tm2 Tm 0.154 0.154 0.585 1
Tm3 Tm 0.286 0.286 0.130 1
Tm4 Tm 0.427 0.427 0.685 1
Tm5 Tm 0.573 0.573 0.315 1
Tm6 Tm 0.714 0.714 0.870 1
Tm7 Tm 0.846 0.846 0.415 1
Al1 Al 0.500 0.500 0.000 1
Tl1 Tl 0.071 0.071 0.778 1
Tl2 Tl 0.213 0.213 0.341 1
Tl3 Tl 0.787 0.787 0.659 1
Tl4 Tl 0.929 0.929 0.222 1

***

[10]
# TmAlTl | Alexandria via LeMat-Bulk | PBE | optimized geometry
# Final energy (eV per atom): -3.5440
# DOS(E_F) (states/eV per atom): 0.542
# Relative energy among the computed polymorphs (meV/atom): 205
# Energy of formation from the pure elements (meV per atom): -17
data_TmAlTl
_chemical_formula_sum 'Tm2 Al2 Tl2'
_cell_length_a 8.661
_cell_length_b 8.644
_cell_length_c 4.354
_cell_angle_alpha 75.65
_cell_angle_beta 75.20
_cell_angle_gamma 29.14
_space_group_name_H-M_alt 'P 1'
_space_group_IT_number 1
_space_group_name_Hall 'P 1'
loop_
_atom_site_label
_atom_site_type_symbol
_atom_site_fract_x
_atom_site_fract_y
_atom_site_fract_z
_atom_site_occupancy
Tm1 Tm 0.171 0.171 0.829 1
Tm2 Tm 0.829 0.829 0.171 1
Al1 Al 0.229 0.771 0.771 1
Al2 Al 0.771 0.229 0.229 1
Tl1 Tl 0.361 0.361 0.639 1
Tl2 Tl 0.639 0.639 0.361 1

***

[11]
# Tm3AlTl | Alexandria via LeMat-Bulk | PBE | optimized geometry
# Final energy (eV per atom): -4.1646
# DOS(E_F) (states/eV per atom): 0.704
# Relative energy among the computed polymorphs (meV/atom): 0
# Energy of formation from the pure elements (meV per atom): -260
data_Tm3AlTl
_chemical_formula_sum 'Tm6 Al2 Tl2'
_cell_length_a 11.109
_cell_length_b 11.109
_cell_length_c 4.883
_cell_angle_alpha 90.00
_cell_angle_beta 90.00
_cell_angle_gamma 154.61
_space_group_name_H-M_alt 'P 1'
_space_group_IT_number 1
_space_group_name_Hall 'P 1'
loop_
_atom_site_label
_atom_site_type_symbol
_atom_site_fract_x
_atom_site_fract_y
_atom_site_fract_z
_atom_site_occupancy
Tm1 Tm 0.058 0.942 0.750 1
Tm2 Tm 0.250 0.750 0.750 1
Tm3 Tm 0.441 0.559 0.750 1
Tm4 Tm 0.559 0.441 0.250 1
Tm5 Tm 0.750 0.250 0.250 1
Tm6 Tm 0.942 0.058 0.250 1
Al1 Al 0.154 0.846 0.250 1
Al2 Al 0.846 0.154 0.750 1
Tl1 Tl 0.346 0.654 0.250 1
Tl2 Tl 0.654 0.346 0.750 1

***

Q: Among the records above, which one has the highest final energy?
A: number 3

***

Q: Which value of final energy does entry 10 give?
A: -3.5440 eV per atom

***

Q: Which of these has the highest energy of formation from the pure elements?
A: number 3

***

Q: energy of formation from the pure elements of number 9 (Tm7AlTl4)?
A: -8 meV per atom